[1]
4
Lattice="2.0312 1.1727 9.7996 -2.0312 1.1727 9.7996 0.0000 -2.3455 9.7996" Properties=species:S:1:pos:R:3 comment="Pr2AlPt PBE optimized geometry" dos_ef_per_ev_fu=5.20 crystal_system=trigonal magmom_total_mub_per_fu=0.00 formation_energy_kcal_per_mol_atoms=-3.3 relative_energy_mev_per_atom=510 spacegroup="R-3m, No. 166" pbc="T T T"
Pr 0.0000 0.0000 3.2055
Pr 0.0000 0.0000 26.1934
Al 0.0000 0.0000 0.0000
Pt 0.0000 0.0000 14.6994


[2]
16
Lattice="7.3678 0.0000 0.0000 0.0000 4.3299 0.0000 0.0000 0.0000 9.7863" Properties=species:S:1:pos:R:3 comment="PmCdCu2 PBE optimized geometry" dos_ef_per_ev_fu=2.42 crystal_system=orthorhombic magmom_total_mub_per_fu=0.00 formation_energy_kcal_per_mol_atoms=-5.2 spacegroup="Pnma, No. 62" pbc="T T T"
Pm 1.4821 1.0825 1.7391
Pm 2.2018 3.2474 6.6323
Pm 5.1660 1.0825 3.1540
Pm 5.8857 3.2474 8.0471
Cd 0.3066 3.2474 3.8891
Cd 3.3773 1.0825 8.7822
Cd 3.9905 3.2474 1.0041
Cd 7.0612 1.0825 5.8972
Cu 0.5916 1.0825 8.5704
Cu 1.5211 3.2474 9.4687
Cu 2.1628 1.0825 4.5756
Cu 3.0923 3.2474 3.6773
Cu 4.2755 1.0825 6.1090
Cu 5.2050 3.2474 5.2107
Cu 5.8467 1.0825 0.3176
Cu 6.7762 3.2474 1.2159


[3]
4
Lattice="1.7727 1.0234 11.5541 -1.7727 1.0234 11.5541 0.0000 -2.0469 11.5541" Properties=species:S:1:pos:R:3 comment="DyY2Tm PBE optimized geometry" dos_ef_per_ev_fu=6.34 crystal_system=trigonal magmom_total_mub_per_fu=0.00 formation_energy_kcal_per_mol_atoms=0.6 relative_energy_mev_per_atom=13 spacegroup="R-3m, No. 166" pbc="T T T"
Dy 0.0000 0.0000 0.0000
Y 0.0000 0.0000 8.6485
Y 0.0000 0.0000 26.0138
Tm 0.0000 0.0000 17.3312


[4]
5
Lattice="5.1421 0.0000 0.0000 0.0000 5.1421 0.0000 0.0000 0.0000 5.1546" Properties=species:S:1:pos:R:3 comment="VSbTe2H PBE optimized geometry" dos_ef_per_ev_fu=4.11 crystal_system=tetragonal magmom_total_mub_per_fu=0.33 relative_energy_mev_per_atom=92 spacegroup="P4/mmm, No. 123" pbc="T T T"
V 0.0000 0.0000 0.0000
Sb 0.0000 0.0000 2.5773
Te 0.0000 2.5711 0.0000
Te 2.5711 0.0000 0.0000
H 2.5711 2.5711 2.5773


[5]
12
Lattice="6.3552 0.0000 0.0000 0.0000 6.3552 0.0000 0.0000 0.0000 6.3552" Properties=species:S:1:pos:R:3 comment="AgAs2 PBE optimized geometry" dos_ef_per_ev_fu=2.49 crystal_system=cubic magmom_total_mub_per_fu=0.00 formation_energy_kcal_per_mol_atoms=4.7 spacegroup="Pa-3, No. 205" pbc="T T T"
Ag 0.0000 0.0000 0.0000
Ag 0.0000 3.1776 3.1776
Ag 3.1776 0.0000 3.1776
Ag 3.1776 3.1776 0.0000
As 0.7003 3.8779 5.6549
As 0.7003 5.6549 2.4773
As 2.4773 0.7003 5.6549
As 2.4773 2.4773 2.4773
As 3.8779 3.8779 3.8779
As 3.8779 5.6549 0.7003
As 5.6549 0.7003 3.8779
As 5.6549 2.4773 0.7003


[6]
12
Lattice="9.9242 0.0000 0.0000 0.0000 3.6246 0.0000 -0.6259 0.0000 11.8369" Properties=species:S:1:pos:R:3 comment="La2NdSm3 PBE optimized geometry" dos_ef_per_ev_fu=8.83 crystal_system=monoclinic magmom_total_mub_per_fu=0.00 formation_energy_kcal_per_mol_atoms=1.4 relative_energy_mev_per_atom=0 spacegroup="P2_1/m, No. 11" pbc="T T T"
La 0.3431 0.9061 4.2779
La 3.5457 2.7184 10.3943
La 5.7526 0.9061 1.4426
La 8.9552 2.7184 7.5590
Nd 2.4603 2.7184 1.6955
Nd 6.8381 0.9061 10.1414
Sm 0.3982 0.9061 10.6155
Sm 2.2587 0.9061 7.5656
Sm 3.9709 0.9061 4.5118
Sm 5.3275 2.7184 7.3251
Sm 7.0396 2.7184 4.2713
Sm 8.9002 2.7184 1.2214


[7]
15
Lattice="6.8690 -4.1750 0.0000 6.8690 4.1750 0.0000 -4.3560 0.0000 6.7790" Properties=species:S:1:pos:R:3 comment="Y3NpAg3Se8 PBE optimized geometry" dos_ef_per_ev_fu=4.55 crystal_system=monoclinic magmom_total_mub_per_fu=3.00 e_form_raw_ev_per_atom=-1.14 spacegroup="C2/m, No. 12" pbc="T T T"
Y 0.0000 0.0000 0.0000
Y 1.2565 2.0875 3.3895
Y 1.2565 -2.0875 3.3895
Np 6.8690 0.0000 0.0000
Ag 3.4345 2.0875 0.0000
Ag 3.4345 -2.0875 0.0000
Ag 4.6910 0.0000 3.3895
Se 2.3354 0.0000 1.7047
Se 3.5609 2.0726 5.1151
Se 0.2184 0.0000 5.0777
Se 5.8211 2.0726 1.6639
Se 3.5609 -2.0726 5.1151
Se 9.1637 0.0000 1.7012
Se 5.8211 -2.0726 1.6639
Se 7.0466 0.0000 5.0743


[8]
10
Lattice="4.1996 -7.9555 0.0000 4.1996 7.9555 0.0000 0.0000 0.0000 5.1074" Properties=species:S:1:pos:R:3 comment="Ce7TlHg2 PBE optimized geometry" dos_ef_per_ev_fu=36.49 crystal_system=orthorhombic magmom_total_mub_per_fu=6.58 formation_energy_kcal_per_mol_atoms=6.3 spacegroup="Cmmm, No. 65" pbc="T T T"
Ce 0.0000 0.0000 0.0000
Ce 2.8517 1.7643 0.0000
Ce 4.1996 3.3619 2.5537
Ce 2.8517 -1.7643 0.0000
Ce 5.5476 1.7643 0.0000
Ce 4.1996 -3.3619 2.5537
Ce 5.5476 -1.7643 0.0000
Tl 4.1996 0.0000 2.5537
Hg 4.1996 4.8862 0.0000
Hg 4.1996 -4.8862 0.0000


[9]
8
Lattice="0.0000 4.5618 6.7729 4.5599 0.0000 6.7729 4.5599 4.5618 0.0000" Properties=species:S:1:pos:R:3 comment="NaZn2SnTe4 PBE optimized geometry" dos_ef_per_ev_fu=6.22 crystal_system=orthorhombic magmom_total_mub_per_fu=0.00 e_form_raw_ev_per_atom=-0.38 spacegroup="Fmm2, No. 42" pbc="T T T"
Na 0.0000 0.0000 0.0000
Zn 2.2799 2.2809 3.3920
Zn 6.8398 6.8427 10.1649
Sn 4.5599 4.5618 6.7822
Te 4.5599 2.3007 4.8556
Te 6.8258 4.5618 8.7027
Te 4.5599 6.8229 4.8556
Te 2.2940 4.5618 8.7027


[10]
11
Lattice="3.3839 0.0000 0.0000 0.0000 4.9102 8.9866 0.0000 -4.9102 8.9866" Properties=species:S:1:pos:R:3 comment="TmIn4Hg6 PBE optimized geometry" dos_ef_per_ev_fu=4.31 crystal_system=orthorhombic magmom_total_mub_per_fu=0.00 formation_energy_kcal_per_mol_atoms=-1.3 spacegroup="Amm2, No. 38" pbc="T T T"
Tm 0.0000 0.0000 0.0000
In 0.0000 0.0000 10.4122
In 1.6920 -3.2716 6.6946
In 1.6920 0.0000 2.8563
In 1.6920 3.2716 6.6946
Hg 0.0000 -1.7929 4.6352
Hg 0.0000 0.0000 7.3350
Hg 0.0000 1.7929 4.6352
Hg 1.6920 -2.4371 9.8113
Hg 1.6920 0.0000 13.0119
Hg 1.6920 2.4371 9.8113


[11]
8
Lattice="7.2935 0.0000 0.0000 0.0000 4.2241 0.0000 -2.4458 0.0000 6.8925" Properties=species:S:1:pos:R:3 comment="TbCeTh2As4 PBE optimized geometry" dos_ef_per_ev_fu=8.20 crystal_system=monoclinic magmom_total_mub_per_fu=0.69 formation_energy_kcal_per_mol_atoms=-33.4 spacegroup="P2/m, No. 10" pbc="T T T"
Tb 0.0000 0.0000 0.0000
Ce -1.2229 2.1120 3.4462
Th 2.4239 0.0000 3.4462
Th 3.6468 2.1120 0.0000
As 1.1826 2.1120 1.7018
As -0.0426 0.0000 5.1718
As 4.8904 0.0000 1.7207
As 3.6652 2.1120 5.1907


[12]
6
Lattice="3.3657 0.0000 0.0000 -1.6764 4.5693 0.0000 -0.0065 -1.5975 5.2094" Properties=species:S:1:pos:R:3 comment="V4CoPt PBE optimized geometry" dos_ef_per_ev_fu=6.09 crystal_system=triclinic magmom_total_mub_per_fu=0.00 formation_energy_kcal_per_mol_atoms=-4.2 spacegroup="P-1, No. 2" pbc="T T T"
V -0.0004 0.9591 1.7898
V -0.0042 0.2303 4.2892
V 1.6869 2.7414 0.9202
V 1.6831 2.0127 3.4196
Co 1.6796 -0.7988 2.6047
Pt 1.6828 0.0000 0.0000